The following is a DFT calculation (PBE-GGA) of RbSnAu3O4 after structural relaxation.

Computed properties:
Space-group type: P-43m (215)
DFT total energy: -0.3007 Ry/atom

Cell and atoms, written as POSCAR:
```
RbSnAu3O4
1.0
5.821 0.000 0.000
0.000 5.821 0.000
0.000 0.000 5.821
Rb Sn Au O
1 1 3 4
Direct
0.000 0.000 0.000 Rb
0.500 0.500 0.500 Sn
0.000 0.500 0.500 Au
0.500 0.000 0.500 Au
0.500 0.500 0.000 Au
0.299 0.299 0.299 O
0.299 0.701 0.701 O
0.701 0.299 0.701 O
0.701 0.701 0.299 O
```